Material: VGaN3
Method: DFT, PBE
State: relaxed Values from VASP.

```
&SYSTEM
  ibrav = 0, nat = 5, ntyp = 3
/
ATOMIC_SPECIES
V 50.94 V.upf
Ga 69.72 Ga.upf
N 14.01 N.upf
CELL_PARAMETERS angstrom
-3.605 -1.281 0.225
0.448 -1.844 -3.329
1.221 -3.105 1.885
ATOMIC_POSITIONS angstrom
V 0.000 0.000 0.000
Ga -0.968 -3.115 -0.610
N 0.224 -0.922 -1.665
N 0.611 -1.553 0.942
N -1.802 -0.641 0.112
```

Calculated values
SG	Pm-3m
uncorrected formation energy	615	meV per atom
M_tot	0.00	Bohr magnetons per cell
uncorrected energy	-6.8098	eV per atom